The following is a PBE+U calculation of a relaxed PuCrIrO6 crystal, from Alexandria via LeMat-Bulk.

## Properties
Magnetization, μB per formula unit: 5.00
Calculated volume, A^3/atom: 11.67
E_tot, eV/atom: -8.5420
Fermi-level density of states, states/eV/cell: 11.26

```
18
Lattice="5.146 0.000 0.000 -2.573 4.457 0.000 0.000 0.000 9.161" Properties=species:S:1:pos:R:3 pbc="T T T"
Cr 0.000 0.000 4.580
Pu 0.000 2.971 2.290
Pu 2.573 1.486 6.871
O 0.884 4.388 8.024
O 0.784 1.497 8.024
O 4.242 1.428 1.137
O -0.784 1.497 5.717
Ir 0.000 2.971 6.871
Ir 2.573 1.486 2.290
O 3.358 2.960 3.443
O 3.458 0.069 3.443
O 1.669 3.029 5.717
O 1.789 2.960 1.137
O -0.884 4.388 5.717
Cr 0.000 0.000 0.000
O 0.904 1.428 3.443
O 1.689 0.069 1.137
O -1.669 3.029 8.024
```